[1]
# TlSnAu PBE-GGA relaxed
data_TlSnAu
_chemical_formula_sum 'Tl2 Sn2 Au2'
_space_group_name_H-M_alt 'P -1'
_space_group_IT_number 2
_space_group_name_Hall '-P 1'
_cell_length_a 3.841
_cell_length_b 7.016
_cell_length_c 7.032
_cell_angle_alpha 118.36
_cell_angle_beta 104.06
_cell_angle_gamma 91.58
loop_
_atom_site_label
_atom_site_fract_x
_atom_site_fract_y
_atom_site_fract_z
Tl1 0.059 0.323 0.103
Sn1 0.283 0.237 0.575
Au1 0.386 0.969 0.774
# **Total magnetic moment**: 0.00 Bohr magnetons per cell
# **Energy of formation**: -70 meV per atom
# **Final energy**: -3.286 eV/atom

[2]
# KSeBr2Cl PBE-GGA relaxed
data_KSeBr2Cl
_chemical_formula_sum 'K1 Se1 Br2 Cl1'
_space_group_name_H-M_alt 'P 4/m m m'
_space_group_IT_number 123
_space_group_name_Hall '-P 4 2'
_cell_length_a 6.164
_cell_length_b 6.164
_cell_length_c 6.781
_cell_angle_alpha 90.00
_cell_angle_beta 90.00
_cell_angle_gamma 90.00
loop_
_atom_site_label
_atom_site_fract_x
_atom_site_fract_y
_atom_site_fract_z
K1 0.000 0.000 0.000
Se1 0.000 0.000 0.500
Br1 0.000 0.500 0.000
Cl1 0.500 0.500 0.500
# **Energy relative to the lowest polymorph listed for this composition**: 974 meV/atom
# **Uncorrected formation energy**: 0.262 eV/atom
# **Total magnetic moment**: 4.01 Bohr magnetons per cell
# **Final energy**: -1.693 eV/atom

[3]
# LaThZn4 PBE-GGA relaxed
data_LaThZn4
_chemical_formula_sum 'La2 Th2 Zn8'
_space_group_name_H-M_alt 'I m m m'
_space_group_IT_number 71
_space_group_name_Hall '-I 2 2'
_cell_length_a 4.602
_cell_length_b 7.249
_cell_length_c 8.021
_cell_angle_alpha 90.00
_cell_angle_beta 90.00
_cell_angle_gamma 90.00
loop_
_atom_site_label
_atom_site_fract_x
_atom_site_fract_y
_atom_site_fract_z
La1 0.000 0.000 0.000
Th1 0.000 0.500 0.000
Zn1 0.000 0.226 0.333
# **Energy relative to the lowest polymorph listed for this composition**: 0 meV/atom
# **Total magnetic moment**: 0.00 Bohr magnetons per cell
# **Energy of formation**: -308 meV per atom
# **Final energy**: -3.215 eV/atom

[4]
# BaLa2Rh PBE-GGA relaxed
data_BaLa2Rh
_chemical_formula_sum 'Ba1 La2 Rh1'
_space_group_name_H-M_alt 'P 1 m 1'
_space_group_IT_number 6
_space_group_name_Hall 'P -2y'
_cell_length_a 4.324
_cell_length_b 4.019
_cell_length_c 9.025
_cell_angle_alpha 90.00
_cell_angle_beta 103.86
_cell_angle_gamma 90.00
loop_
_atom_site_label
_atom_site_fract_x
_atom_site_fract_y
_atom_site_fract_z
Ba1 0.000 0.000 0.000
La1 0.315 0.000 0.632
La2 0.672 0.500 0.345
Rh1 0.821 0.500 0.645
# **Energy relative to the lowest polymorph listed for this composition**: 125 meV/atom
# **Total magnetic moment**: 0.04 Bohr magnetons per cell
# **Energy of formation**: -290 meV per atom
# **Final energy**: -5.073 eV/atom

[5]
# CaCd2Mo PBE-GGA relaxed
data_CaCd2Mo
_chemical_formula_sum 'Ca1 Cd2 Mo1'
_space_group_name_H-M_alt 'P 4 m m'
_space_group_IT_number 99
_space_group_name_Hall 'P 4 -2'
_cell_length_a 3.682
_cell_length_b 3.682
_cell_length_c 6.821
_cell_angle_alpha 90.00
_cell_angle_beta 90.00
_cell_angle_gamma 90.00
loop_
_atom_site_label
_atom_site_fract_x
_atom_site_fract_y
_atom_site_fract_z
Ca1 0.000 0.000 0.000
Cd1 0.000 0.000 0.534
Cd2 0.500 0.500 0.290
Mo1 0.500 0.500 0.733
# **Energy relative to the lowest polymorph listed for this composition**: 176 meV/atom
# **Total magnetic moment**: 2.51 Bohr magnetons per cell
# **Energy of formation**: 469 meV per atom
# **Final energy**: -3.197 eV/atom

[6]
# TeAs2Cl PBE-GGA relaxed
data_TeAs2Cl
_chemical_formula_sum 'Te2 As4 Cl2'
_space_group_name_H-M_alt 'C m m m'
_space_group_IT_number 65
_space_group_name_Hall '-C 2 2'
_cell_length_a 5.275
_cell_length_b 12.379
_cell_length_c 3.004
_cell_angle_alpha 90.00
_cell_angle_beta 90.00
_cell_angle_gamma 90.00
loop_
_atom_site_label
_atom_site_fract_x
_atom_site_fract_y
_atom_site_fract_z
Te1 0.000 0.000 0.000
As1 0.250 0.250 0.500
Cl1 0.000 0.500 0.000
# **Energy relative to the lowest polymorph listed for this composition**: 542 meV/atom
# **Uncorrected formation energy**: 0.405 eV/atom
# **Total magnetic moment**: 0.00 Bohr magnetons per cell
# **Final energy**: -3.167 eV/atom

[7]
# ScSb2SI PBE-GGA relaxed
data_ScSb2SI
_chemical_formula_sum 'Sc1 Sb2 S1 I1'
_space_group_name_H-M_alt 'P 4/m m m'
_space_group_IT_number 123
_space_group_name_Hall '-P 4 2'
_cell_length_a 5.172
_cell_length_b 5.172
_cell_length_c 5.482
_cell_angle_alpha 90.00
_cell_angle_beta 90.00
_cell_angle_gamma 90.00
loop_
_atom_site_label
_atom_site_fract_x
_atom_site_fract_y
_atom_site_fract_z
Sc1 0.000 0.000 0.000
Sb1 0.000 0.500 0.500
S1 0.500 0.500 0.500
I1 0.500 0.500 0.000
# **Energy relative to the lowest polymorph listed for this composition**: 0 meV/atom
# **Uncorrected formation energy**: 0.309 eV/atom
# **Total magnetic moment**: 0.00 Bohr magnetons per cell
# **Final energy**: -3.741 eV/atom

[8]
# SmTmPSe PBE-GGA relaxed
data_SmTmPSe
_chemical_formula_sum 'Sm3 Tm3 P3 Se3'
_space_group_name_H-M_alt 'R 3 m'
_space_group_IT_number 160
_space_group_name_Hall 'R 3 -2"'
_cell_length_a 3.9851
_cell_length_b 3.9851
_cell_length_c 20.9853
_cell_angle_alpha 90.00
_cell_angle_beta 90.00
_cell_angle_gamma 120.00
loop_
_atom_site_label
_atom_site_fract_x
_atom_site_fract_y
_atom_site_fract_z
Sm1 0.0000 0.0000 0.0000
Tm1 0.0000 0.0000 0.8156
P1 0.0000 0.0000 0.4129
Se1 0.0000 0.0000 0.2367
# **Uncorrected formation energy**: -1.712 eV/atom
# **Total magnetic moment**: 0.00 Bohr magnetons per cell
# **Final energy**: -6.233 eV/atom

[9]
# PrTh4Sn4 PBE-GGA relaxed
data_PrTh4Sn4
_chemical_formula_sum 'Pr2 Th8 Sn8'
_space_group_name_H-M_alt 'I 4/m'
_space_group_IT_number 87
_space_group_name_Hall '-I 4'
_cell_length_a 9.983
_cell_length_b 9.983
_cell_length_c 6.343
_cell_angle_alpha 90.00
_cell_angle_beta 90.00
_cell_angle_gamma 90.00
loop_
_atom_site_label
_atom_site_fract_x
_atom_site_fract_y
_atom_site_fract_z
Pr1 0.000 0.000 0.000
Th1 0.102 0.706 0.500
Sn1 0.095 0.697 0.000
# **Total magnetic moment**: 0.00 Bohr magnetons per cell
# **Energy of formation**: -314 meV per atom
# **Final energy**: -5.922 eV/atom

[10]
# MnTcMo2 PBE-GGA relaxed
data_MnTcMo2
_chemical_formula_sum 'Mn1 Tc1 Mo2'
_space_group_name_H-M_alt 'P 4 m m'
_space_group_IT_number 99
_space_group_name_Hall 'P 4 -2'
_cell_length_a 3.130
_cell_length_b 3.130
_cell_length_c 6.033
_cell_angle_alpha 90.00
_cell_angle_beta 90.00
_cell_angle_gamma 90.00
loop_
_atom_site_label
_atom_site_fract_x
_atom_site_fract_y
_atom_site_fract_z
Mn1 0.000 0.000 0.000
Tc1 0.500 0.500 0.745
Mo1 0.000 0.000 0.499
Mo2 0.500 0.500 0.232
# **Energy relative to the lowest polymorph listed for this composition**: 13 meV/atom
# **Total magnetic moment**: 2.13 Bohr magnetons per cell
# **Energy of formation**: 77 meV per atom
# **Final energy**: -10.222 eV/atom

[11]
# CrRuAu2 PBE-GGA relaxed
data_CrRuAu2
_chemical_formula_sum 'Cr2 Ru2 Au4'
_space_group_name_H-M_alt 'C 1 2/m 1'
_space_group_IT_number 12
_space_group_name_Hall '-C 2y'
_cell_length_a 9.464
_cell_length_b 2.917
_cell_length_c 4.777
_cell_angle_alpha 90.00
_cell_angle_beta 100.66
_cell_angle_gamma 90.00
loop_
_atom_site_label
_atom_site_fract_x
_atom_site_fract_y
_atom_site_fract_z
Cr1 0.000 0.000 0.000
Ru1 0.000 0.500 0.500
Au1 0.249 0.000 0.749
# **Energy relative to the lowest polymorph listed for this composition**: 210 meV/atom
# **Total magnetic moment**: 4.71 Bohr magnetons per cell
# **Energy of formation**: 353 meV per atom
# **Final energy**: -6.011 eV/atom

[12]
# Pm12AlRh6 PBE-GGA relaxed
data_Pm12AlRh6
_chemical_formula_sum 'Pm36 Al3 Rh18'
_space_group_name_H-M_alt 'R -3'
_space_group_IT_number 148
_space_group_name_Hall '-R 3'
_cell_length_a 13.4056
_cell_length_b 13.4056
_cell_length_c 10.8108
_cell_angle_alpha 90.00
_cell_angle_beta 90.00
_cell_angle_gamma 120.00
loop_
_atom_site_label
_atom_site_fract_x
_atom_site_fract_y
_atom_site_fract_z
Pm1 0.0331 0.8254 0.3786
Pm2 0.0366 0.8134 0.8932
Al1 0.0000 0.0000 0.0000
Rh1 0.0454 0.7887 0.6427
# **Energy relative to the lowest polymorph listed for this composition**: 87 meV/atom
# **Total magnetic moment**: 0.00 Bohr magnetons per cell
# **Energy of formation**: -411 meV per atom
# **Final energy**: -5.930 eV/atom